Entry w
Crystalline LiAs4 at its relaxed geometry. Source: Alexandria, functional PBE.

Cell: 5.3101 5.1891 8.3209 Å, 90.00 98.60 90.00°
Fractional coordinates of all 10 atoms:
Li 0.0000 0.0000 0.0000
Li 0.0000 0.5000 0.5000
As 0.2134 0.1963 0.7529
As 0.2134 0.3037 0.2529
As 0.3884 0.6400 0.0891
As 0.3884 0.8600 0.5891
As 0.6116 0.1400 0.4109
As 0.6116 0.3600 0.9109
As 0.7866 0.6963 0.7471
As 0.7866 0.8037 0.2471

Values from the calculation:
The space group is P2_1/c (14).

=====

Entry x
Crystalline LiAs4 at its relaxed geometry. Source: Alexandria, functional PBE.

Cell: 4.5874 4.5874 4.5874 Å, 90.00 90.00 90.00°
Fractional coordinates of all 5 atoms:
Li 0.0000 0.0000 0.0000
As 0.0000 0.0000 0.5000
As 0.0000 0.5000 0.0000
As 0.5000 0.0000 0.0000
As 0.5000 0.5000 0.5000

Values from the calculation:
The space group is Pm-3m (221).

=====

Entry y
Crystalline LiAs4 at its relaxed geometry. Source: Alexandria, functional PBE.

Cell: 5.0019 5.0019 5.0019 Å, 109.47 109.47 109.47°
Fractional coordinates of all 5 atoms:
Li 0.0000 0.0000 0.0000
As 0.0000 0.0000 0.5000
As 0.0000 0.5000 0.0000
As 0.5000 0.0000 0.0000
As 0.5000 0.5000 0.5000

Values from the calculation:
The space group is Im-3m (229).

=====

Entry z
Crystalline LiAs4 at its relaxed geometry. Source: Alexandria, functional PBE.

Cell: 5.5426 5.5426 5.5426 Å, 124.96 124.96 81.60°
Fractional coordinates of all 5 atoms:
Li 0.0000 0.0000 0.0000
As 0.2500 0.7500 0.5000
As 0.3372 0.3372 0.0000
As 0.6628 0.6628 0.0000
As 0.7500 0.2500 0.5000

Values from the calculation:
The space group is I4/mmm (139).

=====

Which one sits at the top of the stability order? entry w does.

=====

Entry w
Crystalline LiAs3 at its relaxed geometry. Source: Alexandria, functional PBE.

Cell: 3.4841 5.0857 4.5393 Å, 90.00 90.00 90.00°
Fractional coordinates of all 4 atoms:
Li 0.0000 0.0000 0.0000
As 0.0000 0.5000 0.8987
As 0.5000 0.0000 0.5046
As 0.5000 0.5000 0.2794

Values from the calculation:
The space group is Pmm2 (25).

=====

Entry x
Crystalline LiAs3 at its relaxed geometry. Source: Alexandria, functional PBE.

Cell: 5.5915 5.5915 4.4362 Å, 105.68 105.68 36.58°
Fractional coordinates of all 4 atoms:
Li 0.0000 0.0000 0.0000
As 0.2086 0.2086 0.6619
As 0.5000 0.5000 0.5000
As 0.7914 0.7914 0.3381

Values from the calculation:
The space group is C2/m (12).

=====

Entry y
Crystalline LiAs3 at its relaxed geometry. Source: Alexandria, functional PBE.

Cell: 9.5133 9.5133 9.5133 Å, 155.53 155.53 34.89°
Fractional coordinates of all 8 atoms:
Li 0.1320 0.1320 0.0000
Li 0.8680 0.8680 0.0000
As 0.0000 0.5000 0.5000
As 0.2500 0.7500 0.5000
As 0.3839 0.3839 0.0000
As 0.5000 0.0000 0.5000
As 0.6161 0.6161 0.0000
As 0.7500 0.2500 0.5000

Values from the calculation:
The space group is I4/mmm (139).

=====

Which one sits at the top of the stability order? entry x does.

=====

Entry w
Crystalline LiAs3 at its relaxed geometry. Source: Alexandria, functional PBE.

Cell: 2.8380 4.3538 6.1189 Å, 90.00 90.00 90.00°
Fractional coordinates of all 4 atoms:
Li 0.0000 0.0000 0.0000
As 0.0000 0.0000 0.5000
As 0.5000 0.5000 0.2065
As 0.5000 0.5000 0.7935

Values from the calculation:
The space group is Pmmm (47).

=====

Entry x
Crystalline LiAs3 at its relaxed geometry. Source: Alexandria, functional PBE.

Cell: 4.6683 4.6683 3.5282 Å, 90.00 90.00 106.55°
Fractional coordinates of all 4 atoms:
Li 0.0000 0.0000 0.0000
As 0.0000 0.5000 0.5000
As 0.5000 0.0000 0.5000
As 0.5000 0.5000 0.0000

Values from the calculation:
The space group is Cmmm (65).

=====

Entry y
Crystalline LiAs3 at its relaxed geometry. Source: Alexandria, functional PBE.

Cell: 6.0755 6.0755 5.0596 Å, 90.00 90.00 120.00°
Fractional coordinates of all 8 atoms:
Li 0.3333 0.6667 0.2500
Li 0.6667 0.3333 0.7500
As 0.1949 0.3897 0.7500
As 0.1949 0.8051 0.7500
As 0.3897 0.1949 0.2500
As 0.6103 0.8051 0.7500
As 0.8051 0.1949 0.2500
As 0.8051 0.6103 0.2500

Values from the calculation:
The space group is P6_3/mmc (194).

=====

Entry z
Crystalline LiAs3 at its relaxed geometry. Source: Alexandria, functional PBE.

Cell: 4.1958 4.1958 4.1958 Å, 90.00 90.00 90.00°
Fractional coordinates of all 4 atoms:
Li 0.0000 0.0000 0.0000
As 0.0000 0.5000 0.5000
As 0.5000 0.0000 0.5000
As 0.5000 0.5000 0.0000

Values from the calculation:
The space group is Pm-3m (221).

=====

Which one sits at the top of the stability order? entry y does.

=====

Entry w
Crystalline LiAs3 at its relaxed geometry. Source: Alexandria, functional PBE.

Cell: 2.8253 2.8253 8.9288 Å, 90.00 90.00 97.69°
Fractional coordinates of all 4 atoms:
Li 0.0000 0.0000 0.0000
As 0.0000 0.0000 0.5000
As 0.5000 0.5000 0.2197
As 0.5000 0.5000 0.7803

Values from the calculation:
The space group is Cmmm (65).

=====

Entry x
Crystalline LiAs3 at its relaxed geometry. Source: Alexandria, functional PBE.

Cell: 4.9627 5.8867 5.5286 Å, 90.00 90.00 90.00°
Fractional coordinates of all 8 atoms:
Li 0.2500 0.2500 0.1682
Li 0.7500 0.7500 0.8318
As 0.2500 0.5375 0.7075
As 0.2500 0.7500 0.1100
As 0.2500 0.9625 0.7075
As 0.7500 0.0375 0.2925
As 0.7500 0.2500 0.8900
As 0.7500 0.4625 0.2925

Values from the calculation:
The space group is Pmmn (59).

=====

Entry y
Crystalline LiAs3 at its relaxed geometry. Source: Alexandria, functional PBE.

Cell: 4.7188 4.7188 4.7188 Å, 60.00 60.00 60.00°
Fractional coordinates of all 4 atoms:
Li 0.0000 0.0000 0.0000
As 0.2500 0.2500 0.2500
As 0.5000 0.5000 0.5000
As 0.7500 0.7500 0.7500

Values from the calculation:
The space group is Fm-3m (225).

=====

Which one sits at the top of the stability order? entry x does.

=====

Entry w
Crystalline LiAs3 at its relaxed geometry. Source: Alexandria, functional PBE.

Cell: 5.5675 5.5675 5.5675 Å, 138.09 61.61 136.99°
Fractional coordinates of all 4 atoms:
Li 0.0000 0.0000 0.0000
As 0.4338 0.7035 0.7304
As 0.4999 0.9999 0.5000
As 0.9731 0.7035 0.2696

Values from the calculation:
The space group is Imm2 (44).

=====

Entry x
Crystalline LiAs3 at its relaxed geometry. Source: Alexandria, functional PBE.

Cell: 3.4682 3.4682 7.5010 Å, 90.00 90.00 120.00°
Fractional coordinates of all 4 atoms:
Li 0.0000 0.0000 0.0000
As 0.0000 0.0000 0.5000
As 0.3333 0.6667 0.2590
As 0.3333 0.6667 0.7410

Values from the calculation:
The space group is P-6m2 (187).

=====

Entry y
Crystalline LiAs3 at its relaxed geometry. Source: Alexandria, functional PBE.

Cell: 4.1814 4.1814 9.8946 Å, 90.00 90.00 120.00°
Fractional coordinates of all 8 atoms:
Li 0.3333 0.6667 0.2500
Li 0.6667 0.3333 0.7500
As 0.0000 0.0000 0.2500
As 0.0000 0.0000 0.7500
As 0.3333 0.6667 0.5707
As 0.3333 0.6667 0.9293
As 0.6667 0.3333 0.0707
As 0.6667 0.3333 0.4293

Values from the calculation:
The space group is P6_3/mmc (194).

=====

Entry z
Crystalline LiAs3 at its relaxed geometry. Source: Alexandria, functional PBE.

Cell: 2.8159 2.8159 8.9500 Å, 90.00 90.00 90.00°
Fractional coordinates of all 4 atoms:
Li 0.0000 0.0000 0.0000
As 0.0000 0.0000 0.5000
As 0.5000 0.5000 0.2129
As 0.5000 0.5000 0.7871

Values from the calculation:
The space group is P4/mmm (123).

=====

Which one sits at the top of the stability order? entry w does.

=====

Entry w
Crystalline Li4As3 at its relaxed geometry. Source: Alexandria, functional PBE.

Cell: 9.3980 9.3980 9.3980 Å, 157.56 157.56 31.95°
Fractional coordinates of all 7 atoms:
Li 0.0675 0.0675 0.0000
Li 0.3594 0.3594 0.0000
Li 0.6406 0.6406 0.0000
Li 0.9325 0.9325 0.0000
As 0.2228 0.2228 0.0000
As 0.5000 0.5000 0.0000
As 0.7772 0.7772 0.0000

Values from the calculation:
The space group is I4/mmm (139).

=====

Entry x
Crystalline Li4As3 at its relaxed geometry. Source: Alexandria, functional PBE.

Cell: 5.4674 5.4674 4.9424 Å, 90.00 90.00 120.00°
Fractional coordinates of all 7 atoms:
Li 0.0000 0.0000 0.2416
Li 0.0000 0.0000 0.7584
Li 0.3333 0.6667 0.5000
Li 0.6667 0.3333 0.5000
As 0.0000 0.5000 0.0000
As 0.5000 0.0000 0.0000
As 0.5000 0.5000 0.0000

Values from the calculation:
The space group is P6/mmm (191).

=====

Which one sits at the top of the stability order? entry w does.

=====

Entry w
Crystalline Li5As3 at its relaxed geometry. Source: Alexandria, functional PBE.

Cell: 7.7764 7.7764 5.1322 Å, 90.00 90.00 120.00°
Fractional coordinates of all 16 atoms:
Li 0.0000 0.2615 0.2500
Li 0.0000 0.7385 0.7500
Li 0.2615 0.0000 0.2500
Li 0.2615 0.2615 0.7500
Li 0.3333 0.6667 0.0000
Li 0.3333 0.6667 0.5000
Li 0.6667 0.3333 0.0000
Li 0.6667 0.3333 0.5000
Li 0.7385 0.0000 0.7500
Li 0.7385 0.7385 0.2500
As 0.0000 0.4041 0.7500
As 0.0000 0.5959 0.2500
As 0.4041 0.0000 0.7500
As 0.4041 0.4041 0.2500
As 0.5959 0.0000 0.2500
As 0.5959 0.5959 0.7500

Values from the calculation:
The space group is P6_3/mcm (193).

=====

Entry x
Crystalline Li5As3 at its relaxed geometry. Source: Alexandria, functional PBE.

Cell: 5.7572 6.5858 7.9886 Å, 71.66 74.40 78.10°
Fractional coordinates of all 16 atoms:
Li 0.0738 0.2866 0.4318
Li 0.1804 0.6195 0.8665
Li 0.2923 0.0584 0.8903
Li 0.3350 0.6366 0.2264
Li 0.3395 0.8521 0.5018
Li 0.6605 0.1479 0.4982
Li 0.6650 0.3634 0.7736
Li 0.7077 0.9416 0.1097
Li 0.8196 0.3805 0.1335
Li 0.9262 0.7134 0.5682
As 0.0623 0.0087 0.2474
As 0.3094 0.4235 0.5986
As 0.3506 0.2849 0.1119
As 0.6494 0.7151 0.8881
As 0.6906 0.5765 0.4014
As 0.9377 0.9913 0.7526

Values from the calculation:
The space group is P-1 (2).

=====

Which one sits at the top of the stability order? entry x does.

=====

Entry w
Crystalline Li2Mg2As at its relaxed geometry. Source: Alexandria, functional PBE.

Cell: 6.9080 6.9080 4.6205 Å, 90.00 90.00 90.00°
Fractional coordinates of all 10 atoms:
Li 0.1583 0.3417 0.0000
Li 0.3417 0.8417 0.0000
Li 0.6583 0.1583 0.0000
Li 0.8417 0.6583 0.0000
Mg 0.1454 0.6454 0.5000
Mg 0.3546 0.1454 0.5000
Mg 0.6454 0.8546 0.5000
Mg 0.8546 0.3546 0.5000
As 0.0000 0.0000 0.5000
As 0.5000 0.5000 0.5000

Values from the calculation:
The space group is P4/mbm (127).

=====

Entry x
Crystalline Li2Mg2As at its relaxed geometry. Source: Alexandria, functional PBE.

Cell: 6.4618 6.4618 4.4487 Å, 90.00 90.00 90.00°
Fractional coordinates of all 10 atoms:
Li 0.1425 0.3575 0.0000
Li 0.3575 0.8575 0.0000
Li 0.6425 0.1425 0.0000
Li 0.8575 0.6425 0.0000
Mg 0.1720 0.6720 0.5000
Mg 0.3280 0.1720 0.5000
Mg 0.6720 0.8280 0.5000
Mg 0.8280 0.3280 0.5000
As 0.0000 0.0000 0.0000
As 0.5000 0.5000 0.0000

Values from the calculation:
The space group is P4/mbm (127).

=====

Which one sits at the top of the stability order? entry x does.